[1]
ErScCd5: optimized geometry, PBE.

Output
Calculated total energy: -2.29 eV/atom
Formation energy from the elements: -0.08 eV/atom
ρ: 7.52 g/cm3
Magnetic moment: 0.00 μB/cell

a = 4.9787 Å, b = 4.9787 Å, c = 6.8930 Å
α = 90.00°, β = 90.00°, γ = 90.00°
Closest atoms and distances in Å follow each position.
Positions (direct):
Er: 0.0000 0.0000 0.0000  8 Cd 3.14
Sc: 0.5000 0.5000 0.5000  8 Cd 2.93
Cd: 0.0000 0.5000 0.2769  2 Sc 2.93, 3 Cd 3.08-3.14, 2 Er 3.14
Cd: 0.0000 0.5000 0.7231  2 Sc 2.93, 3 Cd 3.08-3.14, 2 Er 3.14
Cd: 0.5000 0.0000 0.2769  2 Sc 2.93, 3 Cd 3.08-3.14, 2 Er 3.14
Cd: 0.5000 0.0000 0.7231  2 Sc 2.93, 3 Cd 3.08-3.14, 2 Er 3.14
Cd: 0.5000 0.5000 0.0000  8 Cd 3.14, 2 Sc 3.45

---

[2]
ErScCd4: optimized geometry, PBE.

Output
Calculated total energy: -2.64 eV/atom
Formation energy from the elements: -0.21 eV/atom
ρ: 7.96 g/cm3
Magnetic moment: 0.50 μB/cell
Offset from the most stable computed form: 0.051 eV/atom

a = 6.5832 Å, b = 6.5832 Å, c = 6.6635 Å
α = 104.56°, β = 104.56°, γ = 29.66°
Closest atoms and distances in Å follow each position.
Positions (direct):
Er: 0.0000 0.0000 0.0000  8 Cd 3.18-3.20, 2 Sc 3.33, 2 Er 3.37
Sc: 0.0000 0.0000 0.5000  8 Cd 3.11-3.15, 2 Er 3.33, 2 Sc 3.37
Cd: 0.3276 0.3276 0.1718  8 Cd 3.07-3.44, 2 Sc 3.15, 2 Er 3.20
Cd: 0.3318 0.3318 0.6576  7 Cd 3.05-3.37, 2 Sc 3.11, 2 Er 3.18
Cd: 0.6682 0.6682 0.3424  7 Cd 3.05-3.37, 2 Sc 3.11, 2 Er 3.18
Cd: 0.6724 0.6724 0.8282  8 Cd 3.07-3.44, 2 Sc 3.15, 2 Er 3.20

---

[3]
Er2Sc3Cd3: optimized geometry, PBE.

Output
Calculated total energy: -4.05 eV/atom
Formation energy from the elements: -0.19 eV/atom
ρ: 6.90 g/cm3
Magnetic moment: 0.00 μB/cell

a = 11.0329 Å, b = 11.0329 Å, c = 11.0329 Å
α = 161.15°, β = 153.42°, γ = 32.79°
Closest atoms and distances in Å follow each position.
Positions (direct):
Er: 0.2338 0.2338 0.0000  2 Cd 3.13, 4 Er 3.19, 2 Sc 3.46
Er: 0.7662 0.7662 0.0000  2 Cd 3.13, 4 Er 3.19, 2 Sc 3.46
Sc: 0.0000 0.0000 0.0000  8 Cd 3.00-3.11
Sc: 0.3770 0.8770 0.5000  6 Cd 3.12-3.17, 2 Er 3.46
Sc: 0.6230 0.1230 0.5000  6 Cd 3.12-3.17, 2 Er 3.46
Cd: 0.1133 0.6133 0.5000  6 Sc 3.00-3.12, 2 Er 3.13
Cd: 0.5000 0.5000 0.0000  8 Sc 3.11-3.17
Cd: 0.8867 0.3867 0.5000  6 Sc 3.00-3.12, 2 Er 3.13

---

[4]
Er6Sc12Cd: optimized geometry, PBE.

Output
Calculated total energy: -5.36 eV/atom
Formation energy from the elements: 0.12 eV/atom
ρ: 5.41 g/cm3
Magnetic moment: 0.00 μB/cell

a = 7.9959 Å, b = 7.9959 Å, c = 7.9959 Å
α = 93.60°, β = 93.60°, γ = 93.60°
Closest atoms and distances in Å follow each position.
Positions (direct):
Er: 0.2143 0.3822 0.7640  9 Sc 3.12-3.46, 1 Cd 3.34
Er: 0.2360 0.7857 0.6178  9 Sc 3.12-3.46, 1 Cd 3.34
Er: 0.3822 0.7640 0.2143  9 Sc 3.12-3.46, 1 Cd 3.34
Er: 0.6178 0.2360 0.7857  9 Sc 3.12-3.46, 1 Cd 3.34
Er: 0.7640 0.2143 0.3822  9 Sc 3.12-3.46, 1 Cd 3.34
Er: 0.7857 0.6178 0.2360  9 Sc 3.12-3.46, 1 Cd 3.34
Sc: 0.0319 0.7142 0.9642  3 Sc 3.01-3.17, 3 Er 3.12-3.36
Sc: 0.0358 0.9681 0.2858  3 Sc 3.01-3.17, 3 Er 3.12-3.36
Sc: 0.1337 0.4445 0.3606  4 Sc 3.01-3.30, 1 Cd 3.06, 3 Er 3.31-3.34
Sc: 0.2858 0.0358 0.9681  3 Sc 3.01-3.17, 3 Er 3.12-3.36
Sc: 0.3606 0.1337 0.4445  4 Sc 3.01-3.30, 1 Cd 3.06, 3 Er 3.31-3.34
Sc: 0.4445 0.3606 0.1337  4 Sc 3.01-3.30, 1 Cd 3.06, 3 Er 3.31-3.34
Sc: 0.5555 0.6394 0.8663  4 Sc 3.01-3.30, 1 Cd 3.06, 3 Er 3.31-3.34
Sc: 0.6394 0.8663 0.5555  4 Sc 3.01-3.30, 1 Cd 3.06, 3 Er 3.31-3.34
Sc: 0.7142 0.9642 0.0319  3 Sc 3.01-3.17, 3 Er 3.12-3.36
Sc: 0.8663 0.5555 0.6394  4 Sc 3.01-3.30, 1 Cd 3.06, 3 Er 3.31-3.34
Sc: 0.9642 0.0319 0.7142  3 Sc 3.01-3.17, 3 Er 3.12-3.36
Sc: 0.9681 0.2858 0.0358  3 Sc 3.01-3.17, 3 Er 3.12-3.36
Cd: 0.5000 0.5000 0.5000  6 Sc 3.06, 6 Er 3.34

---

[5]
Er3Sc4Cd: optimized geometry, PBE.

Output
Calculated total energy: -4.68 eV/atom
Formation energy from the elements: 0.31 eV/atom
ρ: 5.75 g/cm3
Magnetic moment: 0.00 μB/cell

a = 7.0096 Å, b = 7.0096 Å, c = 7.0096 Å
α = 132.11°, β = 108.87°, γ = 90.35°
Closest atoms and distances in Å follow each position.
Positions (direct):
Er: 0.0000 0.0000 0.0000  6 Sc 3.51-3.60, 2 Er 3.92
Er: 0.1548 0.3590 0.7957  5 Sc 3.25-3.40, 1 Er 3.33, 2 Cd 3.36
Er: 0.5633 0.3590 0.2043  5 Sc 3.25-3.40, 1 Er 3.33, 2 Cd 3.36
Sc: 0.3445 0.6715 0.6729  3 Sc 2.82-3.00, 1 Cd 2.85
Sc: 0.6728 0.4309 0.7580  4 Sc 2.75-3.00, 1 Cd 2.88
Sc: 0.6728 0.9148 0.2420  4 Sc 2.75-3.00, 1 Cd 2.88
Sc: 0.9986 0.6715 0.3271  3 Sc 2.82-3.00, 1 Cd 2.85
Cd: 0.4226 0.9226 0.5000  4 Sc 2.85-2.88

---

[6]
ErSc2Cd3: optimized geometry, PBE.

Output
Calculated total energy: -3.62 eV/atom
Formation energy from the elements: -0.30 eV/atom
ρ: 7.07 g/cm3
Magnetic moment: 0.00 μB/cell

a = 3.5948 Å, b = 3.5948 Å, c = 10.7983 Å
α = 90.00°, β = 90.00°, γ = 90.00°
Closest atoms and distances in Å follow each position.
Positions (direct):
Er: 0.0000 0.0000 0.0000  8 Cd 3.21
Sc: 0.0000 0.0000 0.3390  8 Cd 3.06-3.08
Sc: 0.0000 0.0000 0.6610  8 Cd 3.06-3.08
Cd: 0.5000 0.5000 0.1809  4 Sc 3.06, 4 Er 3.21
Cd: 0.5000 0.5000 0.5000  8 Sc 3.08, 2 Cd 3.45
Cd: 0.5000 0.5000 0.8191  4 Sc 3.06, 4 Er 3.21

---

[7]
Er8Sc3Cd: optimized geometry, PBE.

Output
Calculated total energy: -4.12 eV/atom
Formation energy from the elements: 0.58 eV/atom
ρ: 6.83 g/cm3
Magnetic moment: 0.00 μB/cell

a = 8.1522 Å, b = 8.1522 Å, c = 8.1522 Å
α = 119.61°, β = 119.61°, γ = 90.68°
Closest atoms and distances in Å follow each position.
Positions (direct):
Er: 0.0991 0.0991 0.7327  3 Er 3.05-3.30, 3 Sc 3.08-3.20
Er: 0.2066 0.2066 0.4811  1 Sc 2.82, 1 Cd 3.03, 1 Er 3.05
Er: 0.2746 0.7934 0.0000  1 Sc 2.82, 1 Cd 3.03, 1 Er 3.05
Er: 0.3664 0.3664 0.2673  3 Er 3.05-3.30, 3 Sc 3.08-3.20
Er: 0.6336 0.9009 0.0000  3 Er 3.05-3.30, 3 Sc 3.08-3.20
Er: 0.7254 0.7254 0.5189  1 Sc 2.82, 1 Cd 3.03, 1 Er 3.05
Er: 0.7934 0.2746 0.0000  1 Sc 2.82, 1 Cd 3.03, 1 Er 3.05
Er: 0.9009 0.6336 0.0000  3 Er 3.05-3.30, 3 Sc 3.08-3.20
Sc: 0.0000 0.0000 0.0000  8 Er 2.82-3.08
Sc: 0.2500 0.7500 0.5000  4 Er 3.20
Sc: 0.7500 0.2500 0.5000  4 Er 3.20
Cd: 0.5000 0.5000 0.0000  4 Er 3.03

---

[8]
Er3Sc2Cd3: optimized geometry, PBE.

Output
Calculated total energy: -3.86 eV/atom
Formation energy from the elements: -0.22 eV/atom
ρ: 7.58 g/cm3
Magnetic moment: 0.00 μB/cell

a = 11.2073 Å, b = 11.2073 Å, c = 11.2073 Å
α = 161.32°, β = 153.14°, γ = 32.92°
Closest atoms and distances in Å follow each position.
Positions (direct):
Er: 0.0000 0.0000 0.0000  8 Cd 3.18-3.21
Er: 0.3734 0.8734 0.5000  6 Cd 3.18-3.27, 4 Sc 3.47-3.51
Er: 0.6266 0.1266 0.5000  6 Cd 3.18-3.27, 4 Sc 3.47-3.51
Sc: 0.2361 0.2361 0.0000  2 Cd 3.03, 4 Sc 3.23
Sc: 0.7639 0.7639 0.0000  2 Cd 3.03, 4 Sc 3.23
Cd: 0.1232 0.6232 0.5000  2 Sc 3.03, 6 Er 3.18-3.21
Cd: 0.5000 0.5000 0.0000  8 Er 3.18-3.27
Cd: 0.8768 0.3768 0.5000  2 Sc 3.03, 6 Er 3.18-3.21

---

[9]
Er2ScCd: optimized geometry, PBE.

Output
Calculated total energy: -4.14 eV/atom
Formation energy from the elements: -0.05 eV/atom
ρ: 7.42 g/cm3
Magnetic moment: 0.57 μB/cell
Offset from the most stable computed form: 0.082 eV/atom

a = 10.6126 Å, b = 10.6126 Å, c = 10.6126 Å
α = 18.94°, β = 18.94°, γ = 18.94°
Closest atoms and distances in Å follow each position.
Positions (direct):
Er: 0.0000 0.0000 0.0000  3 Cd 3.25, 3 Sc 3.34, 6 Er 3.49
Er: 0.1705 0.1705 0.1705  3 Cd 3.24, 3 Sc 3.34, 6 Er 3.49
Sc: 0.4185 0.4185 0.4185  6 Er 3.34, 6 Sc 3.49
Cd: 0.5852 0.5852 0.5852  6 Er 3.24-3.25, 6 Cd 3.49

---

[10]
Er4Sc5Cd: optimized geometry, PBE.

Output
Calculated total energy: -4.96 eV/atom
Formation energy from the elements: 0.12 eV/atom
ρ: 6.05 g/cm3
Magnetic moment: 0.00 μB/cell

a = 7.6368 Å, b = 7.6368 Å, c = 7.6368 Å
α = 97.23°, β = 97.23°, γ = 138.44°
Closest atoms and distances in Å follow each position.
Positions (direct):
Er: 0.0000 0.3176 0.3176  7 Sc 3.19-3.56, 1 Cd 3.52
Er: 0.0000 0.6824 0.6824  7 Sc 3.19-3.56, 1 Cd 3.52
Er: 0.3176 0.0000 0.3176  7 Sc 3.19-3.56, 1 Cd 3.52
Er: 0.6824 0.0000 0.6824  7 Sc 3.19-3.56, 1 Cd 3.52
Sc: 0.2170 0.2170 0.0000  2 Cd 2.62-2.79
Sc: 0.3174 0.3174 0.6316  1 Cd 2.91, 1 Sc 3.05, 2 Er 3.19
Sc: 0.3174 0.6857 0.0000  1 Cd 2.91, 1 Sc 3.05, 2 Er 3.19
Sc: 0.6857 0.3174 0.0000  1 Cd 2.91, 1 Sc 3.05, 2 Er 3.19
Sc: 0.6857 0.6857 0.3684  1 Cd 2.91, 1 Sc 3.05, 2 Er 3.19
Cd: 0.7327 0.7327 0.0000  6 Sc 2.62-2.91